Record 1
# B3POs | Alexandria via LeMat-Bulk | PBE-GGA | relaxed
# - V (Å³/f.u.) = 71.0
# - E_tot (eV per atom) = -5.88
# - ρ (Mg/m³) = 5.93
# - polymorph energy (0 for the lowest one) (meV/atom) = 0
# - formation energy from the elements (eV/atom) = 1.457
# - size of the total moment (μB per formula unit) = 1.99
# - D(E_F) (states/eV/f.u.) = 1.7
data_B3POs
_cell_length_a 4.141
_cell_length_b 4.141
_cell_length_c 4.141
_cell_angle_alpha 90.00
_cell_angle_beta 90.00
_cell_angle_gamma 90.00
_space_group_name_H-M_alt 'P m -3 m'
_space_group_IT_number 221
_space_group_name_Hall '-P 4 2 3'
loop_
_atom_site_label
_atom_site_type_symbol
_atom_site_fract_x
_atom_site_fract_y
_atom_site_fract_z
B1 B 0.000 0.000 0.500
P1 P 0.500 0.500 0.500
Os1 Os 0.000 0.000 0.000

***

Record 2
# SrHfBRu2 | Alexandria via LeMat-Bulk | PBE-GGA | relaxed
# - V (Å³/f.u.) = 136.1
# - E_tot (eV per atom) = -5.42
# - ρ (Mg/m³) = 5.84
# - formation energy from the elements (eV/atom) = 1.950
# - size of the total moment (μB per formula unit) = 0.00
# - D(E_F) (states/eV/f.u.) = 7.4
data_SrHfBRu2
_cell_length_a 4.705
_cell_length_b 4.705
_cell_length_c 6.149
_cell_angle_alpha 90.00
_cell_angle_beta 90.00
_cell_angle_gamma 90.00
_space_group_name_H-M_alt 'P 4/m m m'
_space_group_IT_number 123
_space_group_name_Hall '-P 4 2'
loop_
_atom_site_label
_atom_site_type_symbol
_atom_site_fract_x
_atom_site_fract_y
_atom_site_fract_z
Sr1 Sr 0.000 0.000 0.000
Hf1 Hf 0.000 0.000 0.500
B1 B 0.500 0.500 0.000
Ru1 Ru 0.000 0.500 0.500

***

Record 3
# Tb2CeZn2In2 | Alexandria via LeMat-Bulk | PBE-GGA | relaxed
# - V (Å³/f.u.) = 179.4
# - E_tot (eV per atom) = -3.56
# - ρ (Mg/m³) = 7.57
# - formation energy from the elements (eV/atom) = -0.245
# - size of the total moment (μB per formula unit) = 1.25
# - D(E_F) (states/eV/f.u.) = 8.9
data_Tb2CeZn2In2
_cell_length_a 4.7413
_cell_length_b 4.7413
_cell_length_c 27.6471
_cell_angle_alpha 90.00
_cell_angle_beta 90.00
_cell_angle_gamma 120.00
_space_group_name_H-M_alt 'R -3 m'
_space_group_IT_number 166
_space_group_name_Hall '-R 3 2"'
loop_
_atom_site_label
_atom_site_type_symbol
_atom_site_fract_x
_atom_site_fract_y
_atom_site_fract_z
Tb1 Tb 0.0000 0.0000 0.1278
Ce1 Ce 0.0000 0.0000 0.0000
Zn1 Zn 0.0000 0.0000 0.3989
In1 In 0.0000 0.0000 0.2609

***

Record 4
# CsKPH | Alexandria via LeMat-Bulk | PBE-GGA | relaxed
# - V (Å³/f.u.) = 129.7
# - E_tot (eV per atom) = -2.97
# - ρ (Mg/m³) = 2.61
# - size of the total moment (μB per formula unit) = 0.00
data_CsKPH
_cell_length_a 9.716
_cell_length_b 5.600
_cell_length_c 4.766
_cell_angle_alpha 90.00
_cell_angle_beta 90.05
_cell_angle_gamma 90.00
_space_group_name_H-M_alt 'C 1 m 1'
_space_group_IT_number 8
_space_group_name_Hall 'C -2y'
loop_
_atom_site_label
_atom_site_type_symbol
_atom_site_fract_x
_atom_site_fract_y
_atom_site_fract_z
Cs1 Cs 0.000 0.000 0.000
K1 K 0.333 0.000 0.490
P1 P 0.166 0.500 0.515
H1 H 0.167 0.500 0.820

***

Record 5
# Ca2ZnRh3 | Alexandria via LeMat-Bulk | PBE-GGA | relaxed
# - V (Å³/f.u.) = 108.9
# - E_tot (eV per atom) = -5.04
# - ρ (Mg/m³) = 6.92
# - formation energy from the elements (eV/atom) = -0.481
# - size of the total moment (μB per formula unit) = 0.00
# - D(E_F) (states/eV/f.u.) = 6.4
data_Ca2ZnRh3
_cell_length_a 5.4763
_cell_length_b 5.4763
_cell_length_c 12.5895
_cell_angle_alpha 90.00
_cell_angle_beta 90.00
_cell_angle_gamma 120.00
_space_group_name_H-M_alt 'R -3 m'
_space_group_IT_number 166
_space_group_name_Hall '-R 3 2"'
loop_
_atom_site_label
_atom_site_type_symbol
_atom_site_fract_x
_atom_site_fract_y
_atom_site_fract_z
Ca1 Ca 0.0000 0.0000 0.1248
Zn1 Zn 0.0000 0.0000 0.5000
Rh1 Rh 0.0000 0.5000 0.0000

***

Record 6
# UCdInHg | Alexandria via LeMat-Bulk | PBE-GGA | relaxed
# - V (Å³/f.u.) = 98.3
# - E_tot (eV per atom) = -3.64
# - ρ (Mg/m³) = 11.25
# - formation energy from the elements (eV/atom) = 0.176
# - size of the total moment (μB per formula unit) = 2.99
# - D(E_F) (states/eV/f.u.) = 7.6
data_UCdInHg
_cell_length_a 7.325
_cell_length_b 7.325
_cell_length_c 7.325
_cell_angle_alpha 90.00
_cell_angle_beta 90.00
_cell_angle_gamma 90.00
_space_group_name_H-M_alt 'F -4 3 m'
_space_group_IT_number 216
_space_group_name_Hall 'F -4 2 3'
loop_
_atom_site_label
_atom_site_type_symbol
_atom_site_fract_x
_atom_site_fract_y
_atom_site_fract_z
U1 U 0.000 0.000 0.000
Cd1 Cd 0.000 0.000 0.500
In1 In 0.250 0.250 0.250
Hg1 Hg 0.250 0.250 0.750

***

Record 7
# Zr5CdGa | Alexandria via LeMat-Bulk | PBE-GGA | relaxed
# - V (Å³/f.u.) = 159.9
# - E_tot (eV per atom) = -6.59
# - ρ (Mg/m³) = 6.63
# - formation energy from the elements (eV/atom) = 0.075
# - size of the total moment (μB per formula unit) = 0.00
# - D(E_F) (states/eV/f.u.) = 6.0
data_Zr5CdGa
_cell_length_a 10.402
_cell_length_b 5.921
_cell_length_c 11.608
_cell_angle_alpha 90.00
_cell_angle_beta 116.55
_cell_angle_gamma 90.00
_space_group_name_H-M_alt 'C 1 2/c 1'
_space_group_IT_number 15
_space_group_name_Hall '-C 2yc'
loop_
_atom_site_label
_atom_site_type_symbol
_atom_site_fract_x
_atom_site_fract_y
_atom_site_fract_z
Zr1 Zr 0.000 0.152 0.250
Zr2 Zr 0.181 0.485 0.511
Zr3 Zr 0.248 0.129 0.720
Cd1 Cd 0.000 0.337 0.750
Ga1 Ga 0.000 0.000 0.000

***

Record 8
# LiCd2Hg5Pb2 | Alexandria via LeMat-Bulk | PBE-GGA | relaxed
# - V (Å³/f.u.) = 252.6
# - E_tot (eV per atom) = -1.31
# - ρ (Mg/m³) = 10.84
# - formation energy from the elements (eV/atom) = -0.040
# - size of the total moment (μB per formula unit) = 0.00
# - D(E_F) (states/eV/f.u.) = 2.9
data_LiCd2Hg5Pb2
_cell_length_a 11.900
_cell_length_b 11.900
_cell_length_c 3.567
_cell_angle_alpha 90.00
_cell_angle_beta 90.00
_cell_angle_gamma 90.00
_space_group_name_H-M_alt 'P 4/m b m'
_space_group_IT_number 127
_space_group_name_Hall '-P 4 2ab'
loop_
_atom_site_label
_atom_site_type_symbol
_atom_site_fract_x
_atom_site_fract_y
_atom_site_fract_z
Li1 Li 0.000 0.000 0.000
Cd1 Cd 0.144 0.356 0.000
Hg1 Hg 0.000 0.500 0.500
Hg2 Hg 0.027 0.186 0.500
Pb1 Pb 0.171 0.671 0.000

***

Record 9
# SmMg4In | Alexandria via LeMat-Bulk | PBE-GGA | relaxed
# - V (Å³/f.u.) = 153.2
# - E_tot (eV per atom) = -2.33
# - ρ (Mg/m³) = 3.93
# - formation energy from the elements (eV/atom) = -0.021
# - size of the total moment (μB per formula unit) = 0.00
# - D(E_F) (states/eV/f.u.) = 4.6
data_SmMg4In
_cell_length_a 8.493
_cell_length_b 8.493
_cell_length_c 8.493
_cell_angle_alpha 90.00
_cell_angle_beta 90.00
_cell_angle_gamma 90.00
_space_group_name_H-M_alt 'F -4 3 m'
_space_group_IT_number 216
_space_group_name_Hall 'F -4 2 3'
loop_
_atom_site_label
_atom_site_type_symbol
_atom_site_fract_x
_atom_site_fract_y
_atom_site_fract_z
Sm1 Sm 0.000 0.000 0.000
Mg1 Mg 0.125 0.125 0.375
In1 In 0.250 0.250 0.750

***

Record 10
# NbGe2Au | Alexandria via LeMat-Bulk | PBE-GGA | relaxed
# - V (Å³/f.u.) = 68.5
# - E_tot (eV per atom) = -5.73
# - ρ (Mg/m³) = 10.55
# - polymorph energy (0 for the lowest one) (meV/atom) = 0
# - formation energy from the elements (eV/atom) = -0.081
# - size of the total moment (μB per formula unit) = 0.00
# - D(E_F) (states/eV/f.u.) = 1.7
data_NbGe2Au
_cell_length_a 4.452
_cell_length_b 4.452
_cell_length_c 3.455
_cell_angle_alpha 90.00
_cell_angle_beta 90.00
_cell_angle_gamma 90.00
_space_group_name_H-M_alt 'P 4/m m m'
_space_group_IT_number 123
_space_group_name_Hall '-P 4 2'
loop_
_atom_site_label
_atom_site_type_symbol
_atom_site_fract_x
_atom_site_fract_y
_atom_site_fract_z
Nb1 Nb 0.000 0.000 0.000
Ge1 Ge 0.000 0.500 0.500
Au1 Au 0.500 0.500 0.000

***

Record 11
# YMoCl2 | Alexandria via LeMat-Bulk | PBE-GGA | relaxed
# - formation energy from raw total energies (meV/atom) = -317
# - V (Å³/f.u.) = 85.8
# - E_tot (eV per atom) = -5.56
# - ρ (Mg/m³) = 4.95
# - polymorph energy (0 for the lowest one) (meV/atom) = 240
# - size of the total moment (μB per formula unit) = 0.17
# - D(E_F) (states/eV/f.u.) = 3.4
data_YMoCl2
_cell_length_a 3.268
_cell_length_b 3.887
_cell_length_c 13.515
_cell_angle_alpha 90.00
_cell_angle_beta 90.00
_cell_angle_gamma 90.00
_space_group_name_H-M_alt 'I m m 2'
_space_group_IT_number 44
_space_group_name_Hall 'I 2 -2'
loop_
_atom_site_label
_atom_site_type_symbol
_atom_site_fract_x
_atom_site_fract_y
_atom_site_fract_z
Y1 Y 0.000 0.000 0.000
Mo1 Mo 0.000 0.500 0.677
Cl1 Cl 0.000 0.000 0.401
Cl2 Cl 0.000 0.500 0.146

***

Record 12
# Ca2LaHPb | Alexandria via LeMat-Bulk | PBE-GGA | relaxed
# - V (Å³/f.u.) = 129.0
# - E_tot (eV per atom) = -3.62
# - ρ (Mg/m³) = 5.50
# - size of the total moment (μB per formula unit) = 0.87
# - D(E_F) (states/eV/f.u.) = 3.4
data_Ca2LaHPb
_cell_length_a 5.084
_cell_length_b 5.084
_cell_length_c 4.991
_cell_angle_alpha 90.00
_cell_angle_beta 90.00
_cell_angle_gamma 90.00
_space_group_name_H-M_alt 'P 4/m m m'
_space_group_IT_number 123
_space_group_name_Hall '-P 4 2'
loop_
_atom_site_label
_atom_site_type_symbol
_atom_site_fract_x
_atom_site_fract_y
_atom_site_fract_z
Ca1 Ca 0.000 0.500 0.000
La1 La 0.000 0.000 0.500
H1 H 0.000 0.000 0.000
Pb1 Pb 0.500 0.500 0.500